The following is a GGA-PBE calculation of an optimized crystal structure of BaMnPb2, from Alexandria via LeMat-Bulk.

## Properties
SG: No. 225
Mass density, g/cm³: 8.944
ΔH_f (0 K), eV/atom: 0.62

Lattice parameters (Å, degrees): 5.4208 5.4208 5.4208 60.00 60.00 60.00
Last column: nearest neighbours and their distance in Å.
Positions (direct):
1 Ba 0.0000 0.0000 0.0000  8 Pb 3.32
2 Mn 0.5000 0.5000 0.5000  8 Pb 3.32
3 Pb 0.2500 0.2500 0.2500  4 Mn 3.32, 4 Ba 3.32
4 Pb 0.7500 0.7500 0.7500  4 Mn 3.32, 4 Ba 3.32